Density functional theory data (SCAN) for Al2IN at its PBEsol-relaxed geometry.

The space group is Fm-3m (No. 225) and the conventional cell measures 6.4461, 6.4461 and 6.4461 Å, with angles of 90.00, 90.00 and 90.00 degrees. The distinct sites, in fractional coordinates, are Al at (0.2500, 0.2500, 0.2500), I at (0.0000, 0.0000, 0.0000) and N at (0.0000, 0.0000, 0.5000).

As for the uncorrected formation energy: 1.275 eV/atom. The total energy is -14.1096 eV per atom. The calculation puts the total moment at 0.00 μB/cell.